# 1
Cu2HgBr | Alexandria | PBE | optimized geometry; E_form (uncorrected) = 257 meV per atom; symmetry = Immm (71); excess energy over the best structure of this formula in the dataset = 259 meV per atom; M_tot = 0.00 μB/f.u.
1.0
-1.626 3.290 4.068
1.626 -3.290 4.068
1.626 3.290 -4.068
Cu Hg Br
2 1 1
Direct
0.244 0.244 0.000 Cu
0.756 0.756 0.000 Cu
0.500 0.000 0.500 Hg
0.000 0.500 0.500 Br

***

# 2
NaNp2AsO8 | Alexandria | PBE | optimized geometry; E_form (uncorrected) = -2223 meV per atom; symmetry = Cmmm (65); M_tot = 2.00 μB/f.u.
1.0
3.402 -3.519 0.000
3.402 3.519 0.000
0.000 0.000 6.932
Na Np As O
1 2 1 8
Direct
0.000 0.000 0.000 Na
0.500 0.500 0.250 Np
0.500 0.500 0.750 Np
0.000 0.000 0.500 As
0.212 0.212 0.270 O
0.212 0.212 0.730 O
0.305 0.695 0.500 O
0.325 0.675 0.000 O
0.675 0.325 0.000 O
0.695 0.305 0.500 O
0.788 0.788 0.270 O
0.788 0.788 0.730 O

***

# 3
KGa2CoGe | Alexandria | PBE | optimized geometry; symmetry = P4/mmm (123); M_tot = 0.00 μB/f.u.; calculated formation energy = -47 meV per atom
1.0
4.702 0.000 0.000
0.000 4.702 0.000
0.000 0.000 4.651
K Ga Co Ge
1 2 1 1
Direct
0.000 0.000 0.000 K
0.000 0.500 0.500 Ga
0.500 0.000 0.500 Ga
0.500 0.500 0.500 Co
0.500 0.500 0.000 Ge

***

# 4
Mn3Ag | Alexandria | PBE | optimized geometry; symmetry = C2/m (12); M_tot = 10.90 μB/f.u.; calculated formation energy = 479 meV per atom
1.0
4.648 -1.404 0.000
4.648 1.404 0.000
-0.864 0.000 4.758
Mn Ag
3 1
Direct
0.000 0.000 0.000 Mn
0.252 0.252 0.766 Mn
0.748 0.748 0.234 Mn
0.500 0.500 0.500 Ag

***

# 5
TbDy4Tm7 | Alexandria | PBE | optimized geometry; symmetry = P-1 (2); excess energy over the best structure of this formula in the dataset = 0 meV per atom; M_tot = 0.00 μB/f.u.; calculated formation energy = 90 meV per atom
1.0
6.450 0.000 0.000
1.049 6.644 0.000
2.031 0.510 8.635
Tb Dy Tm
1 4 7
Direct
0.000 0.000 0.000 Tb
0.165 0.616 0.312 Dy
0.361 0.196 0.712 Dy
0.639 0.804 0.288 Dy
0.835 0.384 0.688 Dy
0.000 0.500 0.000 Tm
0.189 0.106 0.385 Tm
0.318 0.706 0.644 Tm
0.485 0.249 0.049 Tm
0.515 0.751 0.951 Tm
0.682 0.294 0.356 Tm
0.811 0.894 0.615 Tm

***

# 6
Sr4IrW | Alexandria | PBE | optimized geometry; symmetry = F-43m (216); M_tot = 4.70 μB/f.u.; calculated formation energy = 1624 meV per atom
1.0
0.000 4.528 4.528
4.528 0.000 4.528
4.528 4.528 0.000
Sr Ir W
4 1 1
Direct
0.376 0.376 0.376 Sr
0.376 0.376 0.873 Sr
0.376 0.873 0.376 Sr
0.873 0.376 0.376 Sr
0.750 0.750 0.750 Ir
0.000 0.000 0.000 W